1.
Density functional theory data (meta-GGA SCAN) for Mg7GaAg12 at its PBEsol-relaxed geometry.

Results
ΔH_f (0 K) = -378 kJ/mol of formula units
energy = -21.5744 eV per atom
total magnetization = 0.0 Bohr magnetons per cell

Geometry as POSCAR:
```
Mg7GaAg12
1.0
2.294 1.325 18.841
-2.294 1.325 18.841
0.000 -2.649 18.841
Mg Ga Ag
7 1 12
direct
0.000 0.000 0.000 Mg
0.100 0.100 0.100 Mg
0.201 0.201 0.201 Mg
0.400 0.400 0.400 Mg
0.599 0.599 0.599 Mg
0.700 0.700 0.700 Mg
0.802 0.802 0.802 Mg
0.300 0.300 0.300 Ga
0.050 0.050 0.050 Ag
0.151 0.151 0.151 Ag
0.251 0.251 0.251 Ag
0.349 0.349 0.349 Ag
0.450 0.450 0.450 Ag
0.500 0.500 0.500 Ag
0.550 0.550 0.550 Ag
0.649 0.649 0.649 Ag
0.751 0.751 0.751 Ag
0.851 0.851 0.851 Ag
0.901 0.901 0.901 Ag
0.951 0.951 0.951 Ag
```

---

2.
Density functional theory data (meta-GGA SCAN) for MgGaAg2 at its PBEsol-relaxed geometry.

Results
ΔH_f (0 K) = -62 kJ/mol of formula units
energy = -21.1730 eV per atom
total magnetization = 0.0 Bohr magnetons per cell

Geometry as POSCAR:
```
MgGaAg2
1.0
0.000 3.220 3.220
3.220 0.000 3.220
3.220 3.220 0.000
Mg Ga Ag
1 1 2
direct
0.000 0.000 0.000 Mg
0.500 0.500 0.500 Ga
0.250 0.250 0.250 Ag
0.750 0.750 0.750 Ag
```

---

3.
Density functional theory data (meta-GGA SCAN) for GaAgMo3 at its PBEsol-relaxed geometry.

Results
ΔH_f (0 K) = 1207 kJ/mol of formula units
energy = -27.9709 eV per atom
total magnetization = 0.0 Bohr magnetons per cell

Geometry as POSCAR:
```
GaAgMo3
1.0
4.707 0.000 0.000
0.000 4.707 0.000
0.000 0.000 4.707
Ga Ag Mo
1 1 3
direct
0.000 0.000 0.000 Ga
0.500 0.500 0.500 Ag
0.000 0.500 0.500 Mo
0.500 0.000 0.500 Mo
0.500 0.500 0.000 Mo
```

---

4.
Density functional theory data (meta-GGA SCAN) for GaAgSN2 at its PBEsol-relaxed geometry.

Results
formation energy (no corrections) = 1578 meV/atom
energy = -13.6071 eV per atom
total magnetization = 3.4 Bohr magnetons per cell

Geometry as POSCAR:
```
GaAgSN2
1.0
3.983 0.000 0.000
0.000 3.983 0.000
0.000 0.000 5.155
Ga Ag S N
1 1 1 2
direct
0.000 0.000 0.000 Ga
0.500 0.500 0.500 Ag
0.500 0.500 0.000 S
0.000 0.500 0.500 N
0.500 0.000 0.500 N
```

---

5.
Density functional theory data (meta-GGA SCAN) for Na2GaAg2 at its PBEsol-relaxed geometry.

Results
ΔH_f (0 K) = -8 kJ/mol of formula units
energy = -17.5197 eV per atom
total magnetization = 0.0 Bohr magnetons per cell

Geometry as POSCAR:
```
Na2GaAg2
1.0
6.714 0.000 0.000
0.000 6.714 0.000
0.000 0.000 4.798
Na Ga Ag
4 2 4
direct
0.170 0.330 0.000 Na
0.330 0.830 0.000 Na
0.670 0.170 0.000 Na
0.830 0.670 0.000 Na
0.000 0.000 0.500 Ga
0.500 0.500 0.500 Ga
0.144 0.644 0.500 Ag
0.356 0.144 0.500 Ag
0.644 0.856 0.500 Ag
0.856 0.356 0.500 Ag
```

---

6.
Density functional theory data (meta-GGA SCAN) for NaGa2Ag2 at its PBEsol-relaxed geometry.

Results
ΔH_f (0 K) = 3 kJ/mol of formula units
energy = -19.9224 eV per atom
total magnetization = 0.0 Bohr magnetons per cell

Geometry as POSCAR:
```
NaGa2Ag2
1.0
-2.029 2.029 6.071
2.029 -2.029 6.071
2.029 2.029 -6.071
Na Ga Ag
1 2 2
direct
0.000 0.000 0.000 Na
0.250 0.750 0.500 Ga
0.750 0.250 0.500 Ga
0.389 0.389 0.000 Ag
0.611 0.611 0.000 Ag
```

---

7.
Density functional theory data (meta-GGA SCAN) for Na2Ga2Ag at its PBEsol-relaxed geometry.

Results
ΔH_f (0 K) = -38 kJ/mol of formula units
energy = -14.5769 eV per atom
total magnetization = 0.0 Bohr magnetons per cell

Geometry as POSCAR:
```
Na2Ga2Ag
1.0
6.651 0.000 0.000
0.000 6.651 0.000
0.000 0.000 4.948
Na Ga Ag
4 4 2
direct
0.178 0.322 0.000 Na
0.322 0.822 0.000 Na
0.678 0.178 0.000 Na
0.822 0.678 0.000 Na
0.133 0.633 0.500 Ga
0.367 0.133 0.500 Ga
0.633 0.867 0.500 Ga
0.867 0.367 0.500 Ga
0.000 0.000 0.500 Ag
0.500 0.500 0.500 Ag
```

---

8.
Density functional theory data (meta-GGA SCAN) for NaGa2Ag2 at its PBEsol-relaxed geometry.

Results
ΔH_f (0 K) = -26 kJ/mol of formula units
energy = -19.9824 eV per atom
total magnetization = 0.0 Bohr magnetons per cell

Geometry as POSCAR:
```
NaGa2Ag2
1.0
7.922 0.000 0.000
0.000 7.922 0.000
0.000 0.000 2.881
Na Ga Ag
2 4 4
direct
0.000 0.000 0.000 Na
0.500 0.500 0.000 Na
0.159 0.341 0.500 Ga
0.341 0.841 0.500 Ga
0.659 0.159 0.500 Ga
0.841 0.659 0.500 Ga
0.137 0.637 0.000 Ag
0.363 0.137 0.000 Ag
0.637 0.863 0.000 Ag
0.863 0.363 0.000 Ag
```

---

> Which formula does entry 8 have?

NaGa2Ag2